(1)
Compound: Fe2HgMo
Source: Alexandria
Functional: GGA-PBEsol
Structure: optimized geometry

- M_tot (μB per atom) = 1.0750
- E_form (eV per atom) = 0.363

abc: 2.6840 2.6840 8.3797
angles: 90.00 90.00 106.31
Last column: nearest neighbours and their distance in Å.
Sites, in units of the cell vectors:
Hg 0.5000 0.5000 0.5000  4 Hg 2.68, 4 Fe 2.75
Fe 0.0000 0.0000 0.2333  2 Mo 2.53, 4 Fe 2.68, 2 Hg 2.75
Mo 0.5000 0.5000 0.0000  4 Fe 2.53, 4 Mo 2.68
Fe 0.0000 0.0000 0.7667  2 Mo 2.53, 4 Fe 2.68, 2 Hg 2.75



(2)
Compound: CrSbW3
Source: Alexandria
Functional: GGA-PBEsol
Structure: optimized geometry

- M_tot (μB per atom) = 0.0000
- uncorrected formation energy (eV/atom) = 1.51

abc: 4.5034 4.5034 4.5034
angles: 90.00 90.00 90.00
Last column: nearest neighbours and their distance in Å.
Sites, in units of the cell vectors:
W 0.0000 0.5000 0.0000  2 Cr 2.25
Cr 0.0000 0.0000 0.0000  6 W 2.25
Sb 0.5000 0.5000 0.5000  12 W 3.18
W 0.5000 0.0000 0.0000  2 Cr 2.25
W 0.0000 0.0000 0.5000  2 Cr 2.25



(3)
Compound: LaP12Os4
Source: Alexandria
Functional: GGA-PBEsol
Structure: optimized geometry

- M_tot (μB per atom) = 0.0000
- E_form (eV per atom) = -0.687

abc: 6.9821 6.9821 6.9821
angles: 109.47 109.47 109.47
Last column: nearest neighbours and their distance in Å.
Sites, in units of the cell vectors:
P 0.1444 0.3573 0.5017  2 P 2.30-2.33, 2 Os 2.35
Os 0.5000 0.5000 0.5000  6 P 2.35
La 0.0000 0.0000 0.0000  12 P 3.11
P 0.8556 0.6427 0.4983  2 P 2.30-2.33, 2 Os 2.35
P 0.3573 0.2130 0.8556  2 P 2.30-2.33, 2 Os 2.35
Os 0.5000 0.0000 0.0000  6 P 2.35
P 0.6427 0.7870 0.1444  2 P 2.30-2.33, 2 Os 2.35
P 0.3573 0.5017 0.1444  2 P 2.30-2.33, 2 Os 2.35
P 0.8556 0.3573 0.2130  2 P 2.30-2.33, 2 Os 2.35
P 0.6427 0.4983 0.8556  2 P 2.30-2.33, 2 Os 2.35
P 0.4983 0.8556 0.6427  2 P 2.30-2.33, 2 Os 2.35
Os 0.0000 0.5000 0.0000  6 P 2.35
Os 0.0000 0.0000 0.5000  6 P 2.35
P 0.7870 0.1444 0.6427  2 P 2.30-2.33, 2 Os 2.35
P 0.1444 0.6427 0.7870  2 P 2.30-2.33, 2 Os 2.35
P 0.5017 0.1444 0.3573  2 P 2.30-2.33, 2 Os 2.35
P 0.2130 0.8556 0.3573  2 P 2.30-2.33, 2 Os 2.35



(4)
Compound: CoPb2Br
Source: Alexandria
Functional: GGA-PBEsol
Structure: optimized geometry

- M_tot (μB per atom) = 0.0002
- uncorrected formation energy (eV/atom) = 0.10

abc: 3.7594 3.7594 7.9782
angles: 76.37 76.37 60.00
Last column: nearest neighbours and their distance in Å.
Sites, in units of the cell vectors:
Pb 0.7297 0.7297 0.8109  3 Co 2.61
Br 0.5000 0.5000 0.5000  6 Pb 3.23
Pb 0.2703 0.2703 0.1891  3 Co 2.61
Co 0.0000 0.0000 0.0000  6 Pb 2.61



(5)
Compound: TeIrO2F
Source: Alexandria
Functional: GGA-PBEsol
Structure: optimized geometry

- M_tot (μB per atom) = 0.0001
- uncorrected formation energy (eV/atom) = -0.12

abc: 3.9272 3.9272 4.3228
angles: 90.00 90.00 90.00
Last column: nearest neighbours and their distance in Å.
Sites, in units of the cell vectors:
F 0.0000 0.0000 0.5000  2 Ir 2.16
O 0.0000 0.5000 0.0000  2 Ir 1.96
Ir 0.0000 0.0000 0.0000  4 O 1.96, 2 F 2.16
Te 0.5000 0.5000 0.5000  4 F 2.78, 8 O 2.92
O 0.5000 0.0000 0.0000  2 Ir 1.96



(6)
Compound: YMn2CoRh
Source: Alexandria
Functional: GGA-PBEsol
Structure: optimized geometry

- M_tot (μB per atom) = 1.8735
- E_form (eV per atom) = 0.725

abc: 4.5718 4.6063 4.6063
angles: 90.00 90.00 90.00
Last column: nearest neighbours and their distance in Å.
Sites, in units of the cell vectors:
Mn 0.0000 0.0000 0.5000  2 Rh 2.30
Y 0.5000 0.5000 0.5000  8 Mn 3.24, 4 Co 3.26
Co 0.5000 0.0000 0.0000  2 Rh 2.29
Mn 0.0000 0.5000 0.0000  2 Rh 2.30
Rh 0.0000 0.0000 0.0000  2 Co 2.29, 4 Mn 2.30



(7)
Compound: BaHo2Te4
Source: Alexandria
Functional: GGA-PBEsol
Structure: optimized geometry

- M_tot (μB per atom) = 0.0000
- uncorrected formation energy (eV/atom) = -1.52

abc: 4.3973 13.5309 15.9994
angles: 90.00 90.00 90.00
Last column: nearest neighbours and their distance in Å.
Sites, in units of the cell vectors:
Ho 0.7500 0.9407 0.1089  6 Te 3.01-3.06
Ho 0.2500 0.5802 0.0961  6 Te 3.01-3.08
Ho 0.2500 0.0593 0.8911  6 Te 3.01-3.06
Ba 0.7500 0.7617 0.3295  8 Te 3.49-3.66
Ho 0.2500 0.5593 0.6089  6 Te 3.01-3.06
Ho 0.7500 0.4407 0.3911  6 Te 3.01-3.06
Ho 0.7500 0.4198 0.9039  6 Te 3.01-3.08
Te 0.2500 0.0911 0.0770  3 Ho 3.01-3.04
Te 0.7500 0.7051 0.6595  3 Ho 3.06-3.08
Te 0.7500 0.0270 0.2837  3 Ho 3.01-3.03
Te 0.2500 0.8712 0.4716  3 Ho 3.03-3.04
Te 0.7500 0.6288 0.9716  3 Ho 3.03-3.04
Te 0.2500 0.2949 0.3405  3 Ho 3.06-3.08
Ho 0.2500 0.0802 0.4039  6 Te 3.01-3.08
Te 0.7500 0.1288 0.5284  3 Ho 3.03-3.04
Ba 0.2500 0.2383 0.6705  8 Te 3.49-3.66
Te 0.7500 0.4089 0.5770  3 Ho 3.01-3.04
Te 0.2500 0.9730 0.7163  3 Ho 3.01-3.03
Te 0.2500 0.4730 0.7837  3 Ho 3.01-3.03
Te 0.2500 0.5911 0.4230  3 Ho 3.01-3.04
Ba 0.2500 0.7383 0.8295  8 Te 3.49-3.66
Te 0.7500 0.9089 0.9230  3 Ho 3.01-3.04
Te 0.2500 0.7949 0.1595  3 Ho 3.06-3.08
Ho 0.7500 0.9198 0.5961  6 Te 3.01-3.08
Te 0.7500 0.2051 0.8405  3 Ho 3.06-3.08
Te 0.7500 0.5270 0.2163  3 Ho 3.01-3.03
Ba 0.7500 0.2617 0.1705  8 Te 3.49-3.66
Te 0.2500 0.3712 0.0284  3 Ho 3.03-3.04



(8)
Compound: Mg30MnCdO32
Source: Alexandria
Functional: GGA-PBEsol
Structure: optimized geometry

- M_tot (μB per atom) = 0.0156
- uncorrected formation energy (eV/atom) = -2.60

abc: 8.4656 8.4656 8.4657
angles: 90.00 90.00 90.00
Last column: nearest neighbours and their distance in Å.
Sites, in units of the cell vectors:
O 0.7536 0.0000 0.0000  1 Mn 2.09, 5 Mg 2.09-2.15
Mg 0.7524 0.5000 0.2519  6 O 2.10-2.14
Mg 0.2483 0.0000 0.2487  6 O 2.10-2.13
O 0.0000 0.7536 0.0000  1 Mn 2.09, 5 Mg 2.09-2.15
O 0.0000 0.0000 0.7510  5 Mg 2.10-2.13, 1 Mn 2.11
Mg 0.0000 0.0000 0.5000  6 O 2.11-2.13
O 0.0000 0.0000 0.2490  5 Mg 2.10-2.13, 1 Mn 2.11
Mg 0.7504 0.2496 0.5000  6 O 2.11-2.12
Mg 0.2496 0.2496 0.5000  6 O 2.11-2.12
Mg 0.0000 0.2483 0.7513  6 O 2.10-2.13
Mn 0.0000 0.0000 0.0000  6 O 2.09-2.11
Mg 0.2476 0.5000 0.2519  6 O 2.10-2.14
O 0.2464 0.0000 0.0000  1 Mn 2.09, 5 Mg 2.09-2.15
Mg 0.0000 0.2483 0.2487  6 O 2.10-2.13
O 0.2359 0.5000 0.0000  5 Mg 2.00-2.15, 1 Cd 2.24
O 0.5000 0.0000 0.2511  6 Mg 2.10-2.13
O 0.2501 0.2501 0.2494  6 Mg 2.11-2.12
O 0.5000 0.5000 0.7365  5 Mg 2.00-2.14, 1 Cd 2.23
Mg 0.0000 0.7517 0.2487  6 O 2.10-2.13
O 0.2501 0.2501 0.7506  6 Mg 2.11-2.12
Mg 0.2496 0.7504 0.5000  6 O 2.11-2.12
O 0.5000 0.0000 0.7489  6 Mg 2.10-2.13
Mg 0.7517 0.0000 0.7513  6 O 2.10-2.13
Mg 0.7504 0.7504 0.5000  6 O 2.11-2.12
Mg 0.7535 0.2465 0.0000  6 O 2.09-2.15
Mg 0.5000 0.7524 0.7481  6 O 2.10-2.14
O 0.7512 0.0000 0.5000  6 Mg 2.11-2.13
Mg 0.2465 0.2465 0.0000  6 O 2.09-2.15
Mg 0.5000 0.0000 0.0000  6 O 2.00-2.15
O 0.5000 0.5000 0.2635  5 Mg 2.00-2.14, 1 Cd 2.23
Mg 0.0000 0.7517 0.7513  6 O 2.10-2.13
O 0.5000 0.7519 0.5000  6 Mg 2.10-2.13
Mg 0.0000 0.5000 0.5000  6 O 2.10-2.13
Mg 0.7517 0.0000 0.2487  6 O 2.10-2.13
O 0.7499 0.2501 0.7506  6 Mg 2.11-2.12
Mg 0.0000 0.5000 0.0000  6 O 2.00-2.15
O 0.0000 0.2488 0.5000  6 Mg 2.11-2.13
O 0.0000 0.7512 0.5000  6 Mg 2.11-2.13
Mg 0.7524 0.5000 0.7481  6 O 2.10-2.14
O 0.0000 0.5000 0.7489  6 Mg 2.10-2.13
Mg 0.5000 0.0000 0.5000  6 O 2.10-2.13
O 0.5000 0.7641 0.0000  5 Mg 2.00-2.15, 1 Cd 2.24
O 0.7499 0.7499 0.7506  6 Mg 2.11-2.12
Mg 0.7535 0.7535 0.0000  6 O 2.09-2.15
O 0.5000 0.2481 0.5000  6 Mg 2.10-2.13
Mg 0.5000 0.5000 0.5000  6 O 2.00-2.13
O 0.7519 0.5000 0.5000  6 Mg 2.10-2.13
O 0.2501 0.7499 0.7506  6 Mg 2.11-2.12
O 0.5000 0.2359 0.0000  5 Mg 2.00-2.15, 1 Cd 2.24
O 0.7641 0.5000 0.0000  5 Mg 2.00-2.15, 1 Cd 2.24
O 0.2481 0.5000 0.5000  6 Mg 2.10-2.13
O 0.2488 0.0000 0.5000  6 Mg 2.11-2.13
O 0.7499 0.7499 0.2494  6 Mg 2.11-2.12
O 0.0000 0.5000 0.2511  6 Mg 2.10-2.13
Mg 0.5000 0.2476 0.7481  6 O 2.10-2.14
Mg 0.2483 0.0000 0.7513  6 O 2.10-2.13
Cd 0.5000 0.5000 0.0000  6 O 2.23-2.24
O 0.0000 0.2464 0.0000  1 Mn 2.09, 5 Mg 2.09-2.15
Mg 0.2476 0.5000 0.7481  6 O 2.10-2.14
Mg 0.5000 0.7524 0.2519  6 O 2.10-2.14
Mg 0.5000 0.2476 0.2519  6 O 2.10-2.14
O 0.2501 0.7499 0.2494  6 Mg 2.11-2.12
Mg 0.2465 0.7535 0.0000  6 O 2.09-2.15
O 0.7499 0.2501 0.2494  6 Mg 2.11-2.12



(9)
Compound: CsTe3W
Source: Alexandria
Functional: GGA-PBEsol
Structure: optimized geometry

- M_tot (μB per atom) = 0.7357
- uncorrected formation energy (eV/atom) = 2.39

abc: 5.9881 5.9881 5.9881
angles: 90.00 90.00 90.00
Last column: nearest neighbours and their distance in Å.
Sites, in units of the cell vectors:
Cs 0.0000 0.0000 0.0000  6 Te 2.99
Te 0.0000 0.0000 0.5000  2 Cs 2.99
W 0.5000 0.5000 0.5000  12 Te 4.23
Te 0.5000 0.0000 0.0000  2 Cs 2.99
Te 0.0000 0.5000 0.0000  2 Cs 2.99



(10)
Compound: Y2Zn2Ga
Source: Alexandria
Functional: GGA-PBEsol
Structure: optimized geometry

- M_tot (μB per atom) = 0.0000
- E_form (eV per atom) = -0.445

abc: 4.3857 6.8387 6.8387
angles: 90.00 90.00 90.00
Last column: nearest neighbours and their distance in Å.
Sites, in units of the cell vectors:
Zn 0.0000 0.8722 0.6278  1 Zn 2.47, 2 Ga 2.69
Ga 0.0000 0.5000 0.5000  4 Zn 2.69
Zn 0.0000 0.1278 0.3722  1 Zn 2.47, 2 Ga 2.69
Zn 0.0000 0.3722 0.8722  1 Zn 2.47, 2 Ga 2.69
Y 0.5000 0.1750 0.6750  6 Zn 2.91-3.03
Y 0.5000 0.8250 0.3250  6 Zn 2.91-3.03
Zn 0.0000 0.6278 0.1278  1 Zn 2.47, 2 Ga 2.69
Y 0.5000 0.3250 0.1750  6 Zn 2.91-3.03
Y 0.5000 0.6750 0.8250  6 Zn 2.91-3.03
Ga 0.0000 0.0000 0.0000  4 Zn 2.69



no.,calculated density (Mg/m³),total energy (eV per atom)
1,11.7,-7.20
2,13.2,-9.74
3,8.1,-7.96
4,9.8,-4.30
5,9.2,-5.28
6,6.2,-7.72
7,6.8,-5.25
8,3.9,-6.21
9,5.4,-2.68
10,6.1,-4.47